Entry from the Alexandria database: a relaxed ReOs2SeN crystal (PBE).

The structure belongs to space group P4/mmm (No. 123); the cell edges are 4.9032, 4.9032 and 3.7231 Å and the angles 90.00°, 90.00° and 90.00°. The inequivalent atoms are Re at (0.0000, 0.0000, 0.0000), Os at (0.0000, 0.5000, 0.0000), Se at (0.5000, 0.5000, 0.5000) and N at (0.0000, 0.0000, 0.5000).

The value obtained for the total energy is -0.2812 Ha/atom.



Entry from the Alexandria database: a relaxed Ac2NdSn3 crystal (PBE).

The structure belongs to space group C2/c (No. 15); the cell edges are 16.9190, 6.7113 and 7.8413 Å and the angles 90.00°, 103.37° and 90.00°. The inequivalent atoms are Ac at (0.1681, 0.0009, 0.0836), Nd at (0.0000, 0.4956, 0.7500), Sn at (0.0000, 0.0051, 0.2500) and Sn at (0.1598, 0.4991, 0.5805).

For the energy of formation, the calculation gives -51 kJ/mol of atoms.



Entry from the Alexandria database: a relaxed TaMn2Pb crystal (PBE).

The structure belongs to space group Pm (No. 6); the cell edges are 2.9829, 4.4705 and 5.3113 Å and the angles 90.00°, 99.54° and 90.00°. The inequivalent atoms are Ta at (0.0000, 0.0000, 0.0000), Mn at (0.5041, 0.0000, 0.4246), Mn at (0.7543, 0.5000, 0.2102) and Pb at (0.3254, 0.5000, 0.6925).

For the energy of formation, the calculation gives 46 kJ/mol of atoms.



Entry from the Alexandria database: a relaxed ThZrNiOs crystal (PBE).

The structure belongs to space group F-43m (No. 216); the cell edges are 6.8160, 6.8160 and 6.8160 Å and the angles 90.00°, 90.00° and 90.00°. The inequivalent atoms are Th at (0.0000, 0.0000, 0.0000), Zr at (0.0000, 0.0000, 0.5000), Ni at (0.2500, 0.2500, 0.2500) and Os at (0.2500, 0.2500, 0.7500).

For the energy of formation, the calculation gives -23 kJ/mol of atoms.



Entry from the Alexandria database: a relaxed HfAsRh2 crystal (PBE).

The structure belongs to space group P4/mmm (No. 123); the cell edges are 4.0740, 4.0740 and 3.8466 Å and the angles 90.00°, 90.00° and 90.00°. The inequivalent atoms are Hf at (0.0000, 0.0000, 0.0000), As at (0.5000, 0.5000, 0.0000) and Rh at (0.0000, 0.5000, 0.5000).

For the energy of formation, the calculation gives -62 kJ/mol of atoms.



Entry from the Alexandria database: a relaxed Y3Ag crystal (PBE).

The structure belongs to space group R-3m (No. 166, hexagonal axes); the cell edges are 10.6782, 10.6782 and 3.4208 Å and the angles 90.00°, 90.00° and 120.00°. The inequivalent atoms are Y at (0.0000, 0.5000, 0.0000) and Ag at (0.0000, 0.0000, 0.0000).

As for the distance to the lowest polymorph of the same formula: 221 meV/atom. For the energy of formation, the calculation gives 8 kJ/mol of atoms.



Entry from the Alexandria database: a relaxed GeBiAu3 crystal (PBE).

The structure belongs to space group Pnma (No. 62); the cell edges are 4.5992, 5.5851 and 19.6758 Å and the angles 90.00°, 90.00° and 90.00°. The inequivalent atoms are Ge at (0.2490, 0.2500, 0.1513), Bi at (0.2498, 0.2500, 0.8877), Au at (0.2489, 0.2500, 0.2927) and Au at (0.2499, 0.0020, 0.5417).

As for the distance to the lowest polymorph of the same formula: 39 meV/atom. For the energy of formation, the calculation gives 6 kJ/mol of atoms.



Entry from the Alexandria database: a relaxed Ac5Ag2Pt2 crystal (PBE).

The structure belongs to space group Cmce (No. 64); the cell edges are 16.5893, 8.2362 and 8.4500 Å and the angles 90.00°, 90.00° and 90.00°. The inequivalent atoms are Ac at (0.0000, 0.0000, 0.0000), Ac at (0.1274, 0.1658, 0.3316), Ag at (0.2080, 0.0000, 0.0000) and Pt at (0.0000, 0.1346, 0.6321).

For the energy of formation, the calculation gives -58 kJ/mol of atoms.



Entry from the Alexandria database: a relaxed ScRe2Br crystal (PBE).

The structure belongs to space group P4/mmm (No. 123); the cell edges are 4.5424, 4.5424 and 3.2320 Å and the angles 90.00°, 90.00° and 90.00°. The inequivalent atoms are Sc at (0.0000, 0.0000, 0.0000), Re at (0.0000, 0.5000, 0.5000) and Br at (0.5000, 0.5000, 0.0000).

As for the distance to the lowest polymorph of the same formula: 1050 meV/atom.



Entry from the Alexandria database: a relaxed BeTe3 crystal (PBE).

The structure belongs to space group Pmmn (No. 59, origin choice 2); the cell edges are 3.6218, 6.3319 and 9.8297 Å and the angles 90.00°, 90.00° and 90.00°. The inequivalent atoms are Be at (0.2500, 0.2500, 0.2289), Te at (0.2500, 0.5036, 0.6459) and Te at (0.2500, 0.7500, 0.9482).

As for the distance to the lowest polymorph of the same formula: 187 meV/atom.



Entry from the Alexandria database: a relaxed Sr3Mg2UN6 crystal (PBE).

The structure belongs to space group C2/m (No. 12); the cell edges are 5.9079, 10.2668 and 6.2006 Å and the angles 90.00°, 108.07° and 90.00°. The inequivalent atoms are Sr at (0.0000, 0.0000, 0.0000), Sr at (0.0000, 0.3252, 0.0000), Mg at (0.0000, 0.1664, 0.5000), U at (0.0000, 0.5000, 0.5000), N at (0.2252, 0.3462, 0.7051) and N at (0.2364, 0.5000, 0.2874).

The value obtained for the total energy is -0.2389 Ha/atom.



Entry from the Alexandria database: a relaxed AgHg2Pt crystal (PBE).

The structure belongs to space group Cmmm (No. 65); the cell edges are 6.2663, 8.0199 and 3.0151 Å and the angles 90.00°, 90.00° and 90.00°. The inequivalent atoms are Ag at (0.0000, 0.0000, 0.0000), Hg at (0.2500, 0.2500, 0.5000) and Pt at (0.0000, 0.5000, 0.0000).

As for the distance to the lowest polymorph of the same formula: 21 meV/atom. For the energy of formation, the calculation gives 8 kJ/mol of atoms.



Number 1: theoretical density 12.2 g/cm³. Number 2: theoretical density 7.3 g/cm³. Number 3: theoretical density 11.8 g/cm³. Number 4: theoretical density 12.0 g/cm³. Number 5: theoretical density 11.9 g/cm³. Number 6: theoretical density 5.5 g/cm³. Number 7: theoretical density 11.5 g/cm³. Number 8: theoretical density 10.0 g/cm³. Number 9: theoretical density 12.4 g/cm³. Number 10: theoretical density 5.8 g/cm³. Number 11: theoretical density 5.9 g/cm³. Number 12: theoretical density 15.4 g/cm³.